[1]
Material: Pm4Sm15Sc
Method: DFT, PBE
State: optimized geometry

Cell: 5.118 5.118 25.528 Å, 90.00 90.00 90.00°
Positions (direct):
Pm1 0.000 0.000 0.101
Pm2 0.000 0.000 0.303
Pm3 0.000 0.000 0.697
Pm4 0.000 0.000 0.899
Sm1 0.000 0.500 0.000
Sm2 0.000 0.500 0.202
Sm3 0.000 0.500 0.404
Sm4 0.000 0.500 0.596
Sm5 0.000 0.500 0.798
Sm6 0.500 0.000 0.000
Sm7 0.500 0.000 0.202
Sm8 0.500 0.000 0.404
Sm9 0.500 0.000 0.596
Sm10 0.500 0.000 0.798
Sm11 0.500 0.500 0.101
Sm12 0.500 0.500 0.303
Sm13 0.500 0.500 0.500
Sm14 0.500 0.500 0.697
Sm15 0.500 0.500 0.899
Sc1 0.000 0.000 0.500

Values from the calculation:
Final energy in eV/cell: -95.7
ΔE_f in eV/atom: 0.022
Calculated density in g cm⁻³: 7.15
DOS(E_F) in states/eV per cell: 28.700
Spin magnetization in μB/f.u.: 0.00



[2]
Material: InHgW2
Method: DFT, PBE
State: optimized geometry

Cell: 3.207 4.731 4.847 Å, 90.00 90.00 90.00°
Positions (direct):
In1 0.000 0.000 0.000
Hg1 0.500 0.500 0.000
W1 0.000 0.500 0.500
W2 0.500 0.000 0.500

Values from the calculation:
Final energy in eV/cell: -25.9
ΔE_f in eV/atom: 0.765
Calculated density in g cm⁻³: 15.42
DOS(E_F) in states/eV per cell: 2.561
Spin magnetization in μB/f.u.: 0.00



[3]
Material: TbCe2Gd
Method: DFT, PBE
State: optimized geometry

Cell: 5.649 5.649 5.649 Å, 60.00 60.00 60.00°
Positions (direct):
Tb1 0.000 0.000 0.000
Ce1 0.250 0.250 0.250
Ce2 0.750 0.750 0.750
Gd1 0.500 0.500 0.500

Values from the calculation:
Final energy in eV/cell: -29.6
ΔE_f in eV/atom: 0.245
Calculated density in g cm⁻³: 7.77
DOS(E_F) in states/eV per cell: 17.353
Spin magnetization in μB/f.u.: 9.66